# 1
DFT (GGA-PBE) results for an optimized crystal structure of TbYMgAu.

Unit cell a=3.7113 b=3.7113 c=7.3037 alpha=90.00 beta=90.00 gamma=90.00
Element x y z (fractional)
Tb  0.0000  0.0000  0.8416
Y  0.0000  0.0000  0.3706
Au  0.5000  0.5000  0.6087
Mg  0.5000  0.5000  0.1071

- offset from the most stable computed form (eV per formula unit) = 0.000
- symmetry = P4mm, No. 99
- formation enthalpy at 0 K (meV per atom) = -474.1

=====

# 2
DFT (GGA-PBE) results for an optimized crystal structure of KTa2Ni2.

Unit cell a=8.1231 b=8.1231 c=2.6815 alpha=90.00 beta=90.00 gamma=90.00
Element x y z (fractional)
Ta  0.1211  0.3789  0.0000
Ta  0.3789  0.8789  0.0000
Ni  0.8333  0.3333  0.5000
Ta  0.6211  0.1211  0.0000
Ta  0.8789  0.6211  0.0000
Ni  0.6667  0.8333  0.5000
Ni  0.3333  0.1667  0.5000
Ni  0.1667  0.6667  0.5000
K  0.0000  0.0000  0.0000
K  0.5000  0.5000  0.0000

- offset from the most stable computed form (eV per formula unit) = 0.000
- symmetry = P4/mbm, No. 127
- formation enthalpy at 0 K (meV per atom) = 420.6

=====

Number 1: density of states at the Fermi level 3.438 states/eV/f.u.. Number 2: density of states at the Fermi level 4.444 states/eV/f.u..